(1)
A plane-wave DFT calculation with PBE was carried out for Zr5Ga2Bi after structural relaxation.

a b c (Å): 7.3510 7.3510 12.7223
angles (deg): 90.00 90.00 90.00
Closest atoms and distances in Å follow each position.
Space group I4/mcm (No. 140)
Symmetry-distinct sites (fractional):
Zr (0.0000, 0.0000, 0.0000) (multiplicity 4)  4 Ga 2.85, 2 Bi 3.18
Zr (0.1579, 0.3421, 0.1475) (multiplicity 16)  3 Ga 2.84-2.87, 2 Bi 3.06
Ga (0.1375, 0.3625, 0.5000) (multiplicity 8)  8 Zr 2.84-2.87, 1 Ga 2.86
Bi (0.0000, 0.0000, 0.2500) (multiplicity 4)  10 Zr 3.06-3.18

Calculated values
Calculated volume   21.48 Å³/atom
ΔE_f   -0.48 eV per atom
Total magnetization   0.00 μB per atom
Uncorrected energy   -0.25969 hartree per atom

(2)
A plane-wave DFT calculation with PBE was carried out for SrInSe2O8 after structural relaxation.

a b c (Å): 5.2084 5.2084 22.3303
angles (deg): 90.00 90.00 120.00
Closest atoms and distances in Å follow each position.
Space group R-3 (No. 148, hexagonal axes)
Symmetry-distinct sites (fractional):
Sr (0.0000, 0.0000, 0.0000) (multiplicity 3)  12 O 2.95-3.02
In (0.0000, 0.0000, 0.5000) (multiplicity 3)  6 O 2.23
Se (0.0000, 0.0000, 0.2474) (multiplicity 6)  4 O 1.68-1.74
O (0.0000, 0.0000, 0.3228) (multiplicity 6)  1 Se 1.68
O (0.0049, 0.6810, 0.7733) (multiplicity 18)  1 Se 1.74

Calculated values
Calculated volume   14.57 Å³/atom
Total magnetization   0.00 μB per atom
Uncorrected energy   -0.19920 hartree per atom
Formation energy from raw total energies   -1166 meV per atom

(3)
A plane-wave DFT calculation with PBE was carried out for NbHW after structural relaxation.

a b c (Å): 3.2712 4.7387 5.4953
angles (deg): 113.61 106.97 90.41
Closest atoms and distances in Å follow each position.
Space group P1 (No. 1)
Symmetry-distinct sites (fractional):
Nb (0.0000, 0.0000, 0.0000) (multiplicity 1)  2 H 1.90-2.04
Nb (0.2592, 0.7672, 0.5137) (multiplicity 1)  2 H 1.93-2.03
H (0.0645, 0.4406, 0.1371) (multiplicity 1)  2 W 1.89-1.90, 2 Nb 1.90-1.93
H (0.7689, 0.8779, 0.2570) (multiplicity 1)  2 W 1.87-1.88, 2 Nb 2.03-2.04
W (0.4845, 0.4865, 0.9764) (multiplicity 1)  3 H 1.88-1.90
W (0.7571, 0.2773, 0.5164) (multiplicity 1)  1 H 1.87

Calculated values
Calculated volume   12.32 Å³/atom
Total magnetization   0.00 μB per atom
Offset from the most stable computed form   29 meV/atom
Uncorrected energy   -0.32343 hartree per atom

(4)
A plane-wave DFT calculation with PBE was carried out for NpH8IrPt2 after structural relaxation.

a b c (Å): 4.4857 4.5636 6.0820
angles (deg): 82.71 78.96 79.56
Closest atoms and distances in Å follow each position.
Space group P-1 (No. 2)
Symmetry-distinct sites (fractional):
Np (0.0000, 0.0000, 0.0000) (multiplicity 1)  8 H 2.36-2.61
H (0.1794, 0.7331, 0.3212) (multiplicity 2)  1 Ir 1.72
H (0.2567, 0.2438, 0.4860) (multiplicity 2)  1 Ir 1.72, 1 Pt 1.75
H (0.2725, 0.4697, 0.9465) (multiplicity 2)  2 Pt 1.74-1.86
H (0.2814, 0.7994, 0.6461) (multiplicity 2)  1 Ir 1.74, 1 Pt 1.85
Ir (0.0000, 0.0000, 0.5000) (multiplicity 1)  6 H 1.72-1.74
Pt (0.3935, 0.3539, 0.2033) (multiplicity 2)  4 H 1.74-1.86

Calculated values
Calculated volume   9.97 Å³/atom
Total magnetization   0.31 μB per atom
Uncorrected energy   -0.18781 hartree per atom

total magnetization of number 2 (SrInSe2O8)? 0.00 μB per atom

Which value of uncorrected energy does entry 1 give? -0.25969 hartree per atom

Copy entry 2 word for word.
A plane-wave DFT calculation with PBE was carried out for SrInSe2O8 after structural relaxation.

a b c (Å): 5.2084 5.2084 22.3303
angles (deg): 90.00 90.00 120.00
Closest atoms and distances in Å follow each position.
Space group R-3 (No. 148, hexagonal axes)
Symmetry-distinct sites (fractional):
Sr (0.0000, 0.0000, 0.0000) (multiplicity 3)  12 O 2.95-3.02
In (0.0000, 0.0000, 0.5000) (multiplicity 3)  6 O 2.23
Se (0.0000, 0.0000, 0.2474) (multiplicity 6)  4 O 1.68-1.74
O (0.0000, 0.0000, 0.3228) (multiplicity 6)  1 Se 1.68
O (0.0049, 0.6810, 0.7733) (multiplicity 18)  1 Se 1.74

Calculated values
Calculated volume   14.57 Å³/atom
Total magnetization   0.00 μB per atom
Uncorrected energy   -0.19920 hartree per atom
Formation energy from raw total energies   -1166 meV per atom

Look up the total magnetization of the second one. 0.00 μB per atom